A:
Tm2PaHg after structural relaxation, computed with GGA-PBE.

Cell: 3.2879 3.2879 34.3952 Å, 90.00 90.00 120.00°
Space group R-3m (No. 166, hexagonal axes)
Unique sites:
1 Tm 0.0000 0.0000 0.0933
2 Pa 0.0000 0.0000 0.0000
3 Hg 0.0000 0.0000 0.5000

Computed properties:
V: 322 Å³ per cell
total magnetic moment: 0.0 μB per formula unit

***

B:
Tm2PaHg after structural relaxation, computed with GGA-PBE.

Cell: 3.4314 3.4314 8.8087 Å, 90.00 90.00 90.00°
Space group P4/mmm (No. 123)
Unique sites:
1 Tm 0.0000 0.0000 0.2359
2 Pa 0.5000 0.5000 0.5000
3 Hg 0.5000 0.5000 0.0000

Computed properties:
V: 104 Å³ per cell
total magnetic moment: 0.1 μB per formula unit

***

Most stable structure, least stable structure: B, A.

***

A:
TmPaHg after structural relaxation, computed with GGA-PBE.

Cell: 3.2732 3.2732 14.2796 Å, 90.00 90.00 90.00°
Space group I4mm (No. 107)
Unique sites:
1 Tm 0.0000 0.0000 0.0000
2 Pa 0.0000 0.0000 0.6776
3 Hg 0.0000 0.0000 0.3465

Computed properties:
V: 153 Å³ per cell
total magnetic moment: 0.6 μB per formula unit

***

B:
TmPaHg after structural relaxation, computed with GGA-PBE.

Cell: 3.2958 17.5428 5.2462 Å, 90.00 90.00 90.00°
Space group Cmcm (No. 63)
Unique sites:
1 Tm 0.0000 0.0907 0.2500
2 Pa 0.0000 0.2320 0.7500
3 Hg 0.0000 0.4356 0.2500

Computed properties:
V: 303 Å³ per cell
total magnetic moment: 0.0 μB per formula unit

***

Most stable structure, least stable structure: B, A.

***

A:
UPa2Hg after structural relaxation, computed with GGA-PBE.

Cell: 3.6611 3.6611 24.9862 Å, 90.00 90.00 120.00°
Space group R-3m (No. 166, hexagonal axes)
Unique sites:
1 U 0.0000 0.0000 0.0000
2 Pa 0.0000 0.0000 0.2663
3 Hg 0.0000 0.0000 0.5000

Computed properties:
V: 290 Å³ per cell
total magnetic moment: 0.0 μB per formula unit

***

B:
UPa2Hg after structural relaxation, computed with GGA-PBE.

Cell: 4.7282 4.7282 4.2770 Å, 90.00 90.00 90.00°
Space group P4/mmm (No. 123)
Unique sites:
1 U 0.0000 0.0000 0.0000
2 Pa 0.0000 0.5000 0.5000
3 Hg 0.5000 0.5000 0.0000

Computed properties:
V: 96 Å³ per cell
total magnetic moment: 2.0 μB per formula unit

***

Most stable structure, least stable structure: B, A.

***

A:
YPaHg2 after structural relaxation, computed with GGA-PBE.

Cell: 7.4753 7.4753 7.4753 Å, 90.00 90.00 90.00°
Space group Fm-3m (No. 225)
Unique sites:
1 Y 0.0000 0.0000 0.0000
2 Pa 0.0000 0.0000 0.5000
3 Hg 0.2500 0.2500 0.2500

Computed properties:
V: 418 Å³ per cell
total magnetic moment: 2.4 μB per formula unit

***

B:
YPaHg2 after structural relaxation, computed with GGA-PBE.

Cell: 3.3496 3.3496 8.8644 Å, 90.00 90.00 90.00°
Space group P4/mmm (No. 123)
Unique sites:
1 Y 0.0000 0.0000 0.0000
2 Pa 0.0000 0.0000 0.5000
3 Hg 0.5000 0.5000 0.2448

Computed properties:
V: 99 Å³ per cell
total magnetic moment: 1.1 μB per formula unit

***

C:
YPaHg2 after structural relaxation, computed with GGA-PBE.

Cell: 4.8119 4.8119 4.4018 Å, 90.00 90.00 90.00°
Space group P4/mmm (No. 123)
Unique sites:
1 Y 0.0000 0.0000 0.0000
2 Pa 0.5000 0.5000 0.0000
3 Hg 0.0000 0.5000 0.5000

Computed properties:
V: 102 Å³ per cell
total magnetic moment: 1.9 μB per formula unit

***

Most stable structure, least stable structure: B, C.